Ru3Rh, optimized geometry, DFT PBE-GGA; SG = No. 223; DFT formation energy = 0.360 eV per atom; N(E_F) = 9.0 states/eV/cell
1.0
-2.8807 -2.1609 -3.2713
1.4362 -4.3589 1.6147
-3.6481 -0.0096 3.2189
Ru Rh
6 2
Direct
0.0000 0.2500 0.5000
0.0000 0.7500 0.5000
0.2500 0.5000 0.0000
0.5000 0.0000 0.2500
0.5000 0.0000 0.7500
0.7500 0.5000 0.0000
0.0000 0.0000 0.0000
0.5000 0.5000 0.5000